# V6CuNi8, relaxed, DFT PBE
# **Total energy**: -6.833 eV/atom
# **Density**: 7.331 g/cm³
# **Calculated formation energy**: 0.17 eV/atom
data_V6CuNi8
_chemical_formula_sum 'V6 Cu1 Ni8'
_cell_length_a 2.560
_cell_length_b 9.258
_cell_length_c 9.258
_cell_angle_alpha 120.00
_cell_angle_beta 90.00
_cell_angle_gamma 90.00
_symmetry_space_group_name_H-M 'P 1'
_symmetry_Int_Tables_number 1
loop_
_symmetry_equiv_pos_as_xyz
'x,y,z'
loop_
_atom_site_label
_atom_site_type_symbol
_atom_site_fract_x
_atom_site_fract_y
_atom_site_fract_z
_atom_site_occupancy
V1 V 0.738 0.533 0.628 1
V2 V 0.738 0.372 0.904 1
V3 V 0.738 0.096 0.467 1
V4 V 0.262 0.467 0.372 1
V5 V 0.262 0.628 0.096 1
V6 V 0.262 0.904 0.533 1
Cu1 Cu 0.500 0.000 0.000 1
Ni1 Ni 0.775 0.720 0.924 1
Ni2 Ni 0.775 0.076 0.796 1
Ni3 Ni 0.775 0.204 0.280 1
Ni4 Ni 0.225 0.280 0.076 1
Ni5 Ni 0.225 0.924 0.204 1
Ni6 Ni 0.225 0.796 0.720 1
Ni7 Ni 0.764 0.667 0.333 1
Ni8 Ni 0.236 0.333 0.667 1

# CaDySn2, relaxed, DFT PBE
# **Total energy**: -4.305 eV/atom
# **Density**: 6.358 g/cm³
# **Calculated formation energy**: -0.65 eV/atom
data_CaDySn2
_chemical_formula_sum 'Ca1 Dy1 Sn2'
_cell_length_a 4.645
_cell_length_b 4.293
_cell_length_c 6.211
_cell_angle_alpha 90.00
_cell_angle_beta 111.91
_cell_angle_gamma 90.00
_symmetry_space_group_name_H-M 'P 1'
_symmetry_Int_Tables_number 1
loop_
_symmetry_equiv_pos_as_xyz
'x,y,z'
loop_
_atom_site_label
_atom_site_type_symbol
_atom_site_fract_x
_atom_site_fract_y
_atom_site_fract_z
_atom_site_occupancy
Ca1 Ca 0.718 0.000 0.976 1
Dy1 Dy 0.449 0.500 0.437 1
Sn1 Sn 0.172 0.500 0.882 1
Sn2 Sn 0.992 0.000 0.522 1

# Nd2MgPa, relaxed, DFT PBE
# **Total energy**: -4.815 eV/atom
# **Density**: 7.702 g/cm³
# **Calculated formation energy**: 0.34 eV/atom
data_Nd2MgPa
_chemical_formula_sum 'Nd2 Mg1 Pa1'
_cell_length_a 5.494
_cell_length_b 5.494
_cell_length_c 5.494
_cell_angle_alpha 60.00
_cell_angle_beta 60.00
_cell_angle_gamma 60.00
_symmetry_space_group_name_H-M 'P 1'
_symmetry_Int_Tables_number 1
loop_
_symmetry_equiv_pos_as_xyz
'x,y,z'
loop_
_atom_site_label
_atom_site_type_symbol
_atom_site_fract_x
_atom_site_fract_y
_atom_site_fract_z
_atom_site_occupancy
Mg1 Mg 0.500 0.500 0.500 1
Pa1 Pa 0.000 0.000 0.000 1
Nd1 Nd 0.250 0.250 0.250 1
Nd2 Nd 0.750 0.750 0.750 1

# Sm3DyIn2, relaxed, DFT PBE
# **Total energy**: -4.345 eV/atom
# **Density**: 7.940 g/cm³
# **Calculated formation energy**: -0.31 eV/atom
data_Sm3DyIn2
_chemical_formula_sum 'Sm6 Dy2 In4'
_cell_length_a 4.983
_cell_length_b 9.140
_cell_length_c 9.331
_cell_angle_alpha 119.33
_cell_angle_beta 105.49
_cell_angle_gamma 90.00
_symmetry_space_group_name_H-M 'P 1'
_symmetry_Int_Tables_number 1
loop_
_symmetry_equiv_pos_as_xyz
'x,y,z'
loop_
_atom_site_label
_atom_site_type_symbol
_atom_site_fract_x
_atom_site_fract_y
_atom_site_fract_z
_atom_site_occupancy
Sm1 Sm 0.500 0.250 0.000 1
Sm2 Sm 0.500 0.750 0.000 1
Sm3 Sm 0.827 0.077 0.654 1
Sm4 Sm 0.173 0.423 0.346 1
Sm5 Sm 0.173 0.923 0.346 1
Sm6 Sm 0.827 0.577 0.654 1
Dy1 Dy 0.000 0.500 0.000 1
Dy2 Dy 0.000 0.000 0.000 1
In1 In 0.345 0.345 0.690 1
In2 In 0.655 0.155 0.310 1
In3 In 0.345 0.845 0.690 1
In4 In 0.655 0.655 0.310 1

# Dy3ErTm4, relaxed, DFT PBE
# **Total energy**: -4.330 eV/atom
# **Density**: 8.794 g/cm³
# **Calculated formation energy**: 0.20 eV/atom
data_Dy3ErTm4
_chemical_formula_sum 'Dy3 Er1 Tm4'
_cell_length_a 5.548
_cell_length_b 3.508
_cell_length_c 13.203
_cell_angle_alpha 89.98
_cell_angle_beta 102.13
_cell_angle_gamma 90.00
_symmetry_space_group_name_H-M 'P 1'
_symmetry_Int_Tables_number 1
loop_
_symmetry_equiv_pos_as_xyz
'x,y,z'
loop_
_atom_site_label
_atom_site_type_symbol
_atom_site_fract_x
_atom_site_fract_y
_atom_site_fract_z
_atom_site_occupancy
Er1 Er 0.500 0.000 0.000 1
Tm1 Tm 0.603 0.499 0.207 1
Tm2 Tm 0.397 0.501 0.793 1
Tm3 Tm 0.277 0.499 0.554 1
Tm4 Tm 0.723 0.501 0.446 1
Dy1 Dy 0.000 0.500 0.000 1
Dy2 Dy 0.845 0.000 0.689 1
Dy3 Dy 0.155 0.000 0.311 1

# AcPrDyHg, relaxed, DFT PBE
# **Total energy**: -3.425 eV/atom
# **Density**: 9.496 g/cm³
# **Calculated formation energy**: 0.02 eV/atom
data_AcPrDyHg
_chemical_formula_sum 'Ac1 Pr1 Dy1 Hg1'
_cell_length_a 5.654
_cell_length_b 5.654
_cell_length_c 5.654
_cell_angle_alpha 60.00
_cell_angle_beta 60.00
_cell_angle_gamma 60.00
_symmetry_space_group_name_H-M 'P 1'
_symmetry_Int_Tables_number 1
loop_
_symmetry_equiv_pos_as_xyz
'x,y,z'
loop_
_atom_site_label
_atom_site_type_symbol
_atom_site_fract_x
_atom_site_fract_y
_atom_site_fract_z
_atom_site_occupancy
Pr1 Pr 0.000 0.000 0.000 1
Ac1 Ac 0.750 0.750 0.750 1
Hg1 Hg 0.250 0.250 0.250 1
Dy1 Dy 0.500 0.500 0.500 1

# TaTcIr2, relaxed, DFT PBE
# **Total energy**: -10.431 eV/atom
# **Density**: 18.064 g/cm³
# **Calculated formation energy**: -0.45 eV/atom
data_TaTcIr2
_chemical_formula_sum 'Ta1 Tc1 Ir2'
_cell_length_a 4.491
_cell_length_b 2.803
_cell_length_c 4.845
_cell_angle_alpha 90.00
_cell_angle_beta 90.00
_cell_angle_gamma 90.00
_symmetry_space_group_name_H-M 'P 1'
_symmetry_Int_Tables_number 1
loop_
_symmetry_equiv_pos_as_xyz
'x,y,z'
loop_
_atom_site_label
_atom_site_type_symbol
_atom_site_fract_x
_atom_site_fract_y
_atom_site_fract_z
_atom_site_occupancy
Ir1 Ir 0.000 0.125 0.945 1
Ir2 Ir 0.500 0.125 0.295 1
Ta1 Ta 0.000 0.625 0.455 1
Tc1 Tc 0.500 0.625 0.805 1

# AlV2SnHg, relaxed, DFT PBE
# **Total energy**: -3.937 eV/atom
# **Density**: 5.229 g/cm³
# **Calculated formation energy**: 1.32 eV/atom
data_AlV2SnHg
_chemical_formula_sum 'Al1 V2 Sn1 Hg1'
_cell_length_a 5.146
_cell_length_b 5.374
_cell_length_c 5.146
_cell_angle_alpha 90.00
_cell_angle_beta 90.00
_cell_angle_gamma 90.00
_symmetry_space_group_name_H-M 'P 1'
_symmetry_Int_Tables_number 1
loop_
_symmetry_equiv_pos_as_xyz
'x,y,z'
loop_
_atom_site_label
_atom_site_type_symbol
_atom_site_fract_x
_atom_site_fract_y
_atom_site_fract_z
_atom_site_occupancy
Al1 Al 0.500 0.500 0.500 1
V1 V 0.000 0.000 0.500 1
V2 V 0.500 0.000 0.000 1
Hg1 Hg 0.000 0.500 0.000 1
Sn1 Sn 0.000 0.000 0.000 1

# CaCeNi10, relaxed, DFT PBE
# **Total energy**: -5.711 eV/atom
# **Density**: 7.705 g/cm³
# **Calculated formation energy**: -0.23 eV/atom
data_CaCeNi10
_chemical_formula_sum 'Ca1 Ce1 Ni10'
_cell_length_a 3.975
_cell_length_b 4.912
_cell_length_c 8.466
_cell_angle_alpha 90.00
_cell_angle_beta 90.00
_cell_angle_gamma 90.00
_symmetry_space_group_name_H-M 'P 1'
_symmetry_Int_Tables_number 1
loop_
_symmetry_equiv_pos_as_xyz
'x,y,z'
loop_
_atom_site_label
_atom_site_type_symbol
_atom_site_fract_x
_atom_site_fract_y
_atom_site_fract_z
_atom_site_occupancy
Ca1 Ca 0.000 0.000 0.000 1
Ce1 Ce 0.000 0.500 0.500 1
Ni1 Ni 0.000 0.000 0.337 1
Ni2 Ni 0.000 0.500 0.827 1
Ni3 Ni 0.000 0.500 0.173 1
Ni4 Ni 0.000 0.000 0.663 1
Ni5 Ni 0.500 0.000 0.500 1
Ni6 Ni 0.500 0.500 0.000 1
Ni7 Ni 0.500 0.251 0.252 1
Ni8 Ni 0.500 0.749 0.748 1
Ni9 Ni 0.500 0.749 0.252 1
Ni10 Ni 0.500 0.251 0.748 1

# CsYPaSe4, relaxed, DFT PBE
# **Formation energy from raw total energies**: -141 kJ/mol of atoms
# **Total energy**: -5.855 eV/atom
# **Density**: 4.962 g/cm³
data_CsYPaSe4
_chemical_formula_sum 'Cs2 Y2 Pa2 Se8'
_cell_length_a 9.138
_cell_length_b 8.927
_cell_length_c 9.143
_cell_angle_alpha 120.80
_cell_angle_beta 90.00
_cell_angle_gamma 120.78
_symmetry_space_group_name_H-M 'P 1'
_symmetry_Int_Tables_number 1
loop_
_symmetry_equiv_pos_as_xyz
'x,y,z'
loop_
_atom_site_label
_atom_site_type_symbol
_atom_site_fract_x
_atom_site_fract_y
_atom_site_fract_z
_atom_site_occupancy
Cs1 Cs 0.876 0.752 0.126 1
Cs2 Cs 0.124 0.248 0.874 1
Y1 Y 0.500 0.000 0.500 1
Y2 Y 0.500 0.000 0.000 1
Pa1 Pa 0.500 0.500 0.500 1
Pa2 Pa 0.000 0.500 0.500 1
Se1 Se 0.735 0.469 0.681 1
Se2 Se 0.320 0.039 0.270 1
Se3 Se 0.719 0.039 0.270 1
Se4 Se 0.735 0.469 0.288 1
Se5 Se 0.265 0.531 0.712 1
Se6 Se 0.680 0.961 0.730 1
Se7 Se 0.281 0.961 0.730 1
Se8 Se 0.265 0.531 0.319 1

# La8Co3Hg2, relaxed, DFT PBE
# **Total energy**: -4.883 eV/atom
# **Density**: 6.702 g/cm³
# **Calculated formation energy**: -0.16 eV/atom
data_La8Co3Hg2
_chemical_formula_sum 'La8 Co3 Hg2'
_cell_length_a 7.208
_cell_length_b 7.737
_cell_length_c 8.808
_cell_angle_alpha 116.05
_cell_angle_beta 106.53
_cell_angle_gamma 90.00
_symmetry_space_group_name_H-M 'P 1'
_symmetry_Int_Tables_number 1
loop_
_symmetry_equiv_pos_as_xyz
'x,y,z'
loop_
_atom_site_label
_atom_site_type_symbol
_atom_site_fract_x
_atom_site_fract_y
_atom_site_fract_z
_atom_site_occupancy
La1 La 0.044 0.393 0.786 1
La2 La 0.956 0.607 0.214 1
La3 La 0.121 0.882 0.765 1
La4 La 0.879 0.118 0.235 1
La5 La 0.380 0.860 0.197 1
La6 La 0.380 0.337 0.197 1
La7 La 0.620 0.663 0.803 1
La8 La 0.620 0.140 0.803 1
Co1 Co 0.500 0.000 0.000 1
Co2 Co 0.000 0.225 0.000 1
Co3 Co 0.000 0.775 0.000 1
Hg1 Hg 0.683 0.738 0.476 1
Hg2 Hg 0.317 0.262 0.524 1

# PIr2Se, relaxed, DFT PBE
# **Formation energy from raw total energies**: 38 kJ/mol of atoms
# **Total energy**: -6.258 eV/atom
# **Density**: 12.833 g/cm³
data_PIr2Se
_chemical_formula_sum 'P1 Ir2 Se1'
_cell_length_a 2.964
_cell_length_b 2.964
_cell_length_c 8.577
_cell_angle_alpha 90.00
_cell_angle_beta 90.00
_cell_angle_gamma 121.88
_symmetry_space_group_name_H-M 'P 1'
_symmetry_Int_Tables_number 1
loop_
_symmetry_equiv_pos_as_xyz
'x,y,z'
loop_
_atom_site_label
_atom_site_type_symbol
_atom_site_fract_x
_atom_site_fract_y
_atom_site_fract_z
_atom_site_occupancy
P1 P 0.500 0.500 0.500 1
Ir1 Ir 0.000 0.000 0.290 1
Ir2 Ir 0.000 0.000 0.710 1
Se1 Se 0.500 0.500 0.000 1

# KInHgBi, relaxed, DFT PBE
# **Total energy**: -2.138 eV/atom
# **Density**: 6.428 g/cm³
# **Calculated formation energy**: -0.13 eV/atom
data_KInHgBi
_chemical_formula_sum 'K1 In1 Hg1 Bi1'
_cell_length_a 5.002
_cell_length_b 5.000
_cell_length_c 6.720
_cell_angle_alpha 90.00
_cell_angle_beta 90.00
_cell_angle_gamma 120.02
_symmetry_space_group_name_H-M 'P 1'
_symmetry_Int_Tables_number 1
loop_
_symmetry_equiv_pos_as_xyz
'x,y,z'
loop_
_atom_site_label
_atom_site_type_symbol
_atom_site_fract_x
_atom_site_fract_y
_atom_site_fract_z
_atom_site_occupancy
K1 K 0.572 0.144 0.432 1
In1 In 0.239 0.477 0.721 1
Hg1 Hg 0.239 0.477 0.189 1
Bi1 Bi 0.905 0.810 0.897 1

# Be2TlCo, relaxed, DFT PBE
# **Total energy**: -3.907 eV/atom
# **Density**: 8.442 g/cm³
# **Calculated formation energy**: 0.32 eV/atom
data_Be2TlCo
_chemical_formula_sum 'Be2 Tl1 Co1'
_cell_length_a 3.978
_cell_length_b 3.978
_cell_length_c 4.495
_cell_angle_alpha 78.76
_cell_angle_beta 78.76
_cell_angle_gamma 52.83
_symmetry_space_group_name_H-M 'P 1'
_symmetry_Int_Tables_number 1
loop_
_symmetry_equiv_pos_as_xyz
'x,y,z'
loop_
_atom_site_label
_atom_site_type_symbol
_atom_site_fract_x
_atom_site_fract_y
_atom_site_fract_z
_atom_site_occupancy
Be1 Be 0.941 0.941 0.186 1
Be2 Be 0.559 0.559 0.314 1
Tl1 Tl 0.750 0.750 0.750 1
Co1 Co 0.250 0.250 0.250 1

# NdNi4P3, relaxed, DFT PBE
# **Total energy**: -6.294 eV/atom
# **Density**: 7.082 g/cm³
# **Calculated formation energy**: -0.78 eV/atom
data_NdNi4P3
_chemical_formula_sum 'Nd1 Ni4 P3'
_cell_length_a 3.880
_cell_length_b 3.880
_cell_length_c 7.349
_cell_angle_alpha 90.00
_cell_angle_beta 90.00
_cell_angle_gamma 90.00
_symmetry_space_group_name_H-M 'P 1'
_symmetry_Int_Tables_number 1
loop_
_symmetry_equiv_pos_as_xyz
'x,y,z'
loop_
_atom_site_label
_atom_site_type_symbol
_atom_site_fract_x
_atom_site_fract_y
_atom_site_fract_z
_atom_site_occupancy
Ni1 Ni 0.500 0.000 0.173 1
Ni2 Ni 0.000 0.500 0.173 1
Ni3 Ni 0.500 0.000 0.827 1
Ni4 Ni 0.000 0.500 0.827 1
Nd1 Nd 0.000 0.000 0.500 1
P1 P 0.000 0.000 0.000 1
P2 P 0.500 0.500 0.336 1
P3 P 0.500 0.500 0.664 1

# CoPtCl2, relaxed, DFT PBE
# **Formation energy from raw total energies**: -9 kJ/mol of atoms
# **Total energy**: -4.302 eV/atom
# **Density**: 6.597 g/cm³
data_CoPtCl2
_chemical_formula_sum 'Co1 Pt1 Cl2'
_cell_length_a 8.116
_cell_length_b 8.116
_cell_length_c 8.116
_cell_angle_alpha 24.65
_cell_angle_beta 24.65
_cell_angle_gamma 24.65
_symmetry_space_group_name_H-M 'P 1'
_symmetry_Int_Tables_number 1
loop_
_symmetry_equiv_pos_as_xyz
'x,y,z'
loop_
_atom_site_label
_atom_site_type_symbol
_atom_site_fract_x
_atom_site_fract_y
_atom_site_fract_z
_atom_site_occupancy
Co1 Co 0.491 0.491 0.491 1
Pt1 Pt 0.765 0.765 0.765 1
Cl1 Cl 0.032 0.032 0.032 1
Cl2 Cl 0.211 0.211 0.211 1

# Tm5Si2Pb, relaxed, DFT PBE
# **Formation energy from raw total energies**: -60 kJ/mol of atoms
# **Total energy**: -5.236 eV/atom
# **Density**: 9.197 g/cm³
data_Tm5Si2Pb
_chemical_formula_sum 'Tm10 Si4 Pb2'
_cell_length_a 7.765
_cell_length_b 7.765
_cell_length_c 8.613
_cell_angle_alpha 116.79
_cell_angle_beta 116.79
_cell_angle_gamma 90.00
_symmetry_space_group_name_H-M 'P 1'
_symmetry_Int_Tables_number 1
loop_
_symmetry_equiv_pos_as_xyz
'x,y,z'
loop_
_atom_site_label
_atom_site_type_symbol
_atom_site_fract_x
_atom_site_fract_y
_atom_site_fract_z
_atom_site_occupancy
Tm1 Tm 0.515 0.706 0.721 1
Tm2 Tm 0.794 0.985 0.279 1
Tm3 Tm 0.000 0.000 0.000 1
Tm4 Tm 0.500 0.500 0.000 1
Tm5 Tm 0.206 0.015 0.721 1
Tm6 Tm 0.706 0.206 0.721 1
Tm7 Tm 0.015 0.515 0.721 1
Tm8 Tm 0.294 0.794 0.279 1
Tm9 Tm 0.985 0.485 0.279 1
Tm10 Tm 0.485 0.294 0.279 1
Si1 Si 0.146 0.354 0.000 1
Si2 Si 0.646 0.146 0.000 1
Si3 Si 0.354 0.854 0.000 1
Si4 Si 0.854 0.646 0.000 1
Pb1 Pb 0.750 0.750 0.500 1
Pb2 Pb 0.250 0.250 0.500 1

# Ac2LuZn, relaxed, DFT PBE
# **Total energy**: -3.512 eV/atom
# **Density**: 8.663 g/cm³
# **Calculated formation energy**: -0.01 eV/atom
data_Ac2LuZn
_chemical_formula_sum 'Ac2 Lu1 Zn1'
_cell_length_a 3.896
_cell_length_b 5.845
_cell_length_c 5.845
_cell_angle_alpha 90.00
_cell_angle_beta 90.00
_cell_angle_gamma 90.00
_symmetry_space_group_name_H-M 'P 1'
_symmetry_Int_Tables_number 1
loop_
_symmetry_equiv_pos_as_xyz
'x,y,z'
loop_
_atom_site_label
_atom_site_type_symbol
_atom_site_fract_x
_atom_site_fract_y
_atom_site_fract_z
_atom_site_occupancy
Ac1 Ac 0.000 0.000 0.500 1
Ac2 Ac 0.000 0.500 0.000 1
Lu1 Lu 0.500 0.000 0.000 1
Zn1 Zn 0.500 0.500 0.500 1

# Ru2PtCl, relaxed, DFT PBE
# **Formation energy from raw total energies**: 72 kJ/mol of atoms
# **Total energy**: -5.868 eV/atom
# **Density**: 11.936 g/cm³
data_Ru2PtCl
_chemical_formula_sum 'Ru2 Pt1 Cl1'
_cell_length_a 6.668
_cell_length_b 4.668
_cell_length_c 2.798
_cell_angle_alpha 89.97
_cell_angle_beta 65.24
_cell_angle_gamma 126.07
_symmetry_space_group_name_H-M 'P 1'
_symmetry_Int_Tables_number 1
loop_
_symmetry_equiv_pos_as_xyz
'x,y,z'
loop_
_atom_site_label
_atom_site_type_symbol
_atom_site_fract_x
_atom_site_fract_y
_atom_site_fract_z
_atom_site_occupancy
Cl1 Cl 0.000 0.500 0.500 1
Pt1 Pt 0.500 0.500 0.000 1
Ru1 Ru 0.000 0.000 0.000 1
Ru2 Ru 0.500 0.000 0.500 1

# KLiGaF6, relaxed, DFT PBE
# **Formation energy from raw total energies**: -236 kJ/mol of atoms
# **Total energy**: -4.365 eV/atom
# **Density**: 2.722 g/cm³
data_KLiGaF6
_chemical_formula_sum 'K1 Li1 Ga1 F6'
_cell_length_a 5.344
_cell_length_b 5.344
_cell_length_c 5.673
_cell_angle_alpha 90.03
_cell_angle_beta 89.97
_cell_angle_gamma 59.93
_symmetry_space_group_name_H-M 'P 1'
_symmetry_Int_Tables_number 1
loop_
_symmetry_equiv_pos_as_xyz
'x,y,z'
loop_
_atom_site_label
_atom_site_type_symbol
_atom_site_fract_x
_atom_site_fract_y
_atom_site_fract_z
_atom_site_occupancy
K1 K 0.000 0.000 0.000 1
Li1 Li 0.667 0.667 0.500 1
Ga1 Ga 0.333 0.333 0.500 1
F1 F 0.021 0.368 0.309 1
F2 F 0.368 0.021 0.691 1
F3 F 0.610 0.369 0.691 1
F4 F 0.020 0.611 0.690 1
F5 F 0.369 0.610 0.309 1
F6 F 0.611 0.020 0.310 1